[1]
Al2FeTe | PBE-GGA | optimized geometry

Computed properties:
The total magnetization is 0.0 μB/cell. The value obtained for the energy is -4.751 eV per atom. As for the space group: P4/mmm (123). The volume is 74 Å³ per cell. As for the uncorrected formation energy: 21.8 meV/atom.

a = 2.9337 Å, b = 2.9342 Å, c = 8.6495 Å
α = 90.00°, β = 90.00°, γ = 90.00°
Fractional coordinates of all 4 atoms:
1 Te 0.5000 0.5000 0.7500
2 Fe 0.5000 0.5000 0.2500
3 Al 0.0000 0.0000 0.0943
4 Al 0.0000 0.0000 0.4057


[2]
Sc2RePbBr | PBE-GGA | optimized geometry

Computed properties:
The total magnetization is 1.6 μB/cell. The value obtained for the energy is -4.907 eV per atom. As for the space group: P4/mmm (123). The volume is 158 Å³ per cell. As for the uncorrected formation energy: 1191.1 meV/atom.

a = 5.5536 Å, b = 5.1125 Å, c = 5.5536 Å
α = 90.00°, β = 90.00°, γ = 90.00°
Last column: magnetic moment on the atom in μB.
Fractional coordinates of all 5 atoms:
1 Pb 0.0000 0.0000 0.0000  0.00
2 Re 0.0000 0.5000 0.0000  2.10
3 Sc 0.0000 0.0000 0.5000  -0.36
4 Sc 0.5000 0.0000 0.0000  -0.32
5 Br 0.5000 0.5000 0.5000  0.08


[3]
Er2Pb | PBE-GGA | optimized geometry

Computed properties:
The value obtained for the formation energy is -0.3953 eV per atom. The total magnetization is 0.0 μB/cell. The value obtained for the energy is -4.673 eV per atom. As for the space group: Pmmn (59). The volume is 348 Å³ per cell.

a = 4.5497 Å, b = 9.0465 Å, c = 8.4549 Å
α = 89.99°, β = 90.00°, γ = 90.00°
Fractional coordinates of all 12 atoms:
1 Er 0.7500 0.8750 0.0003
2 Er 0.2500 0.6250 0.9997
3 Er 0.7500 0.3750 0.0003
4 Er 0.7500 0.1249 0.3397
5 Er 0.2500 0.3751 0.6603
6 Er 0.2500 0.1250 0.9997
7 Er 0.7500 0.6249 0.3397
8 Er 0.2500 0.8751 0.6603
9 Pb 0.2501 0.8749 0.2853
10 Pb 0.2499 0.3749 0.2853
11 Pb 0.7499 0.1251 0.7147
12 Pb 0.7501 0.6251 0.7147


[4]
Re2H8S | PBE-GGA | optimized geometry

Computed properties:
The total magnetization is 0.0 μB/cell. The value obtained for the energy is -4.811 eV per atom. As for the space group: C2/m (12). The volume is 154 Å³ per cell.

a = 4.9872 Å, b = 4.9872 Å, c = 6.7060 Å
α = 94.25°, β = 94.25°, γ = 111.79°
Fractional coordinates of all 11 atoms:
1 Re 0.9170 0.9170 0.3125
2 Re 0.0830 0.0830 0.6875
3 H 0.0610 0.4031 0.7023
4 H 0.5969 0.9390 0.2977
5 H 0.7731 0.7731 0.5304
6 H 0.2269 0.2269 0.4696
7 H 0.4031 0.0610 0.7023
8 H 0.9390 0.5969 0.2977
9 H 0.6199 0.6199 0.2514
10 H 0.3801 0.3801 0.7486
11 S 0.0000 0.0000 0.0000


total magnetization of number 1 (Al2FeTe)? 0.0 μB/cell


Which value of volume does entry 1 give? 74 Å³ per cell


energy of number 4 (Re2H8S)? -4.811 eV per atom


Which value of volume does entry 4 give? 154 Å³ per cell